VASP calculation (PBE-GGA) on an optimized crystal structure of Y2Ga5Ni5.

Unit cell a=3.882 b=5.204 c=9.268 alpha=90.00 beta=90.00 gamma=90.00
Atoms (fractional coordinates):
Y 0.000 0.000 0.000
Y 0.000 0.500 0.500
Ga 0.000 0.000 0.314
Ga 0.000 0.000 0.686
Ga 0.000 0.500 0.167
Ga 0.000 0.500 0.833
Ga 0.500 0.000 0.500
Ni 0.500 0.256 0.254
Ni 0.500 0.256 0.746
Ni 0.500 0.500 0.000
Ni 0.500 0.744 0.254
Ni 0.500 0.744 0.746

Computed properties:
Space-group type: Pmmm (47)
ΔE_f: -0.516 eV per atom
Crystal system: orthorhombic

VASP calculation (PBE-GGA) on an optimized crystal structure of DyTmCoAg.

Unit cell a=3.345 b=3.345 c=7.485 alpha=90.00 beta=90.00 gamma=90.00
Atoms (fractional coordinates):
Dy 0.000 0.000 0.000
Tm 0.000 0.000 0.562
Co 0.500 0.500 0.777
Ag 0.500 0.500 0.288

Computed properties:
Space-group type: P4mm (99)
ΔE to the lowest computed polymorph: 0.000 eV/atom
ΔE_f: -0.267 eV per atom
Crystal system: tetragonal

no.,N(E_F) (states/eV per cell),magnetic moment (μB per formula unit)
1,6.9,0.0
2,2.6,0.6